1.
A plane-wave DFT calculation with PBE with a Hubbard U was carried out for crystalline TiBeCr2O6 at its relaxed geometry.

Calculated values
As for the space group: R3 (146). The calculation puts the volume at 99.8 Å³ per cell. The value obtained for the total magnetization is 6.00 Bohr magnetons per cell. The total energy is -80.03 eV/cell.

Cell lengths 4.931, 4.931, 5.528 Å; angles 63.51, 63.51, 60.00 degrees
Site moments in Bohr magnetons follow the coordinates.
Fractional coordinates of all 10 atoms:
Cr (0.516, 0.516, 0.452)  2.97
Cr (0.016, 0.017, 0.950)  2.98
O (0.427, 0.755, 0.712)  -0.03
O (0.755, 0.106, 0.712)  -0.03
O (0.594, 0.226, 0.235)  -0.03
O (0.945, 0.594, 0.235)  -0.03
O (0.226, 0.945, 0.235)  -0.03
O (0.106, 0.427, 0.712)  -0.03
Be (0.261, 0.261, 0.218)  0.01
Ti (0.816, 0.816, 0.553)  0.06

=====

2.
A plane-wave DFT calculation with PBE with a Hubbard U was carried out for crystalline K3CdCo2F9 at its relaxed geometry.

Calculated values
As for the space group: P-3m1 (164). The calculation puts the volume at 226.1 Å³ per cell. The value obtained for the total magnetization is 6.00 Bohr magnetons per cell. The total energy is -66.37 eV/cell.

Cell lengths 5.970, 5.970, 7.324 Å; angles 90.00, 90.00, 120.00 degrees
Site moments in Bohr magnetons follow the coordinates.
Fractional coordinates of all 15 atoms:
K (0.000, 0.000, 0.000)  0.00
K (0.333, 0.667, 0.671)  0.00
K (0.667, 0.333, 0.329)  0.00
F (0.347, 0.174, 0.681)  0.03
F (0.174, 0.826, 0.319)  0.03
F (0.500, 0.500, 0.000)  0.07
F (0.174, 0.347, 0.319)  0.03
F (0.826, 0.174, 0.681)  0.03
F (0.653, 0.826, 0.319)  0.03
F (0.000, 0.500, 0.000)  0.07
F (0.826, 0.653, 0.681)  0.03
F (0.500, 0.000, 0.000)  0.07
Co (0.333, 0.667, 0.154)  2.77
Co (0.667, 0.333, 0.846)  2.77
Cd (0.000, 0.000, 0.500)  0.02

=====

Look up the total magnetization of the first one. 6.00 Bohr magnetons per cell